1.
Entry from the Alexandria database: MgGaPb2 after structural relaxation (GGA-PBE).

**SG**: No. 122
**Excess energy over the best structure of this formula in the dataset**: 0.107 eV/atom
**Crystal system**: tetragonal
**DFT total energy**: -2.89 eV per atom
**Calculated formation energy**: 12 kJ per mole of atoms
**Calculated volume**: 109 Å³/f.u.

The structure in POSCAR format:
```
MgGaPb2
1.0
8.3025 0.0000 0.0000
0.0000 8.3025 0.0000
4.1513 4.1513 3.1737
Ga Mg Pb
2 2 4
direct
0.7500 0.2500 0.5000
0.0000 0.0000 0.0000
0.5000 0.5000 0.0000
0.2500 0.7500 0.5000
0.6514 0.1250 0.2500
0.0986 0.6250 0.2500
0.3750 0.3486 0.7500
0.8750 0.9014 0.7500
```



2.
Entry from the Alexandria database: La8SmTm3 after structural relaxation (GGA-PBE).

**SG**: No. 5
**Crystal system**: monoclinic
**DFT total energy**: -4.69 eV per atom
**Calculated formation energy**: 10 kJ per mole of atoms
**Calculated volume**: 417 Å³/f.u.

The structure in POSCAR format:
```
La8SmTm3
1.0
-2.5292 -8.6082 1.8077
7.6397 4.7489 -1.3836
0.1844 6.4186 6.5215
La Tm Sm
8 3 1
direct
0.2939 0.6191 0.9303
0.8064 0.1441 0.1642
0.4101 0.4209 0.3391
0.3112 0.3809 0.6748
0.0200 0.8559 0.6622
0.4216 0.1787 0.1026
0.9238 0.8213 0.2429
0.9182 0.5791 0.9892
0.5504 0.1435 0.6465
0.9833 0.5000 0.4833
0.5030 0.8564 0.4068
0.8582 0.0000 0.8581
```



3.
Entry from the Alexandria database: DySc4Ga4 after structural relaxation (GGA-PBE).

**SG**: No. 86
**Crystal system**: tetragonal
**DFT total energy**: -5.00 eV per atom
**Calculated formation energy**: -32 kJ per mole of atoms
**Calculated volume**: 215 Å³/f.u.

The structure in POSCAR format:
```
DySc4Ga4
1.0
5.5314 0.0000 0.0000
0.0000 8.8215 0.0000
0.0000 0.0000 8.8215
Ga Sc Dy
8 8 2
direct
0.8841 0.7138 0.1400
0.3841 0.6400 0.7862
0.1159 0.1400 0.2862
0.8841 0.2862 0.8600
0.6159 0.2138 0.6400
0.1159 0.8600 0.7138
0.6159 0.7862 0.3600
0.3841 0.3600 0.2138
0.6188 0.0999 0.3358
0.6188 0.9001 0.6642
0.3812 0.6642 0.0999
0.8812 0.4001 0.1642
0.8812 0.5999 0.8358
0.1188 0.1642 0.5999
0.1188 0.8358 0.4001
0.3812 0.3358 0.9001
0.5000 0.5000 0.5000
0.0000 0.0000 0.0000
```



4.
Entry from the Alexandria database: SbAsSe2Br after structural relaxation (GGA-PBE).

**SG**: No. 123
**Formation energy without anion corrections**: 319 kJ/mol of formula units
**Excess energy over the best structure of this formula in the dataset**: 0.324 eV/atom
**Crystal system**: tetragonal
**DFT total energy**: -2.82 eV per atom
**Calculated volume**: 155 Å³/f.u.

The structure in POSCAR format:
```
SbAsSe2Br
1.0
5.2191 0.0000 0.0000
0.0000 5.2191 0.0000
0.0000 0.0000 5.6804
As Br Sb Se
1 1 1 2
direct
0.0000 0.0000 0.5000
0.5000 0.5000 0.5000
0.0000 0.0000 0.0000
0.0000 0.5000 0.0000
0.5000 0.0000 0.0000
```



So what do the calculations give for DOS at the Fermi energy? Going down the list: 0.610 1.596 0.798 1.036 states/eV per atom.